A plane-wave DFT calculation with GGA-PBE was carried out for an optimized crystal structure of YMgCdCu.

Cell: 4.9152 4.9152 4.9152 Å, 60.00 60.00 60.00°
Element x y z (fractional)
1 Cd 0.2500 0.2500 0.2500
2 Y 0.0000 0.0000 0.0000
3 Mg 0.5000 0.5000 0.5000
4 Cu 0.7500 0.7500 0.7500

Values from the calculation:
Final energy (eV per atom): -3.5005
Size of the total moment (μB per formula unit): 0.00

***

A plane-wave DFT calculation with GGA-PBE was carried out for an optimized crystal structure of Mg2Zn2CdCu5.

Cell: 3.8907 8.8721 8.8721 Å, 90.00 90.00 90.00°
Element x y z (fractional)
1 Mg 0.0000 0.6779 0.1779
2 Cu 0.5000 0.7917 0.9301
3 Mg 0.0000 0.8221 0.6779
4 Cu 0.5000 0.5000 0.0000
5 Zn 0.0000 0.3830 0.1170
6 Mg 0.0000 0.3221 0.8221
7 Zn 0.0000 0.6170 0.8830
8 Cu 0.5000 0.9301 0.2083
9 Cu 0.5000 0.7083 0.4301
10 Cu 0.5000 0.5699 0.7083
11 Cd 0.0000 0.5000 0.5000
12 Cd 0.0000 0.0000 0.0000
13 Zn 0.0000 0.8830 0.3830
14 Cu 0.5000 0.0000 0.5000
15 Cu 0.5000 0.4301 0.2917
16 Cu 0.5000 0.0699 0.7917
17 Zn 0.0000 0.1170 0.6170
18 Cu 0.5000 0.2083 0.0699
19 Cu 0.5000 0.2917 0.5699
20 Mg 0.0000 0.1779 0.3221

Values from the calculation:
Final energy (eV per atom): -2.7408
Size of the total moment (μB per formula unit): 0.00

***

A plane-wave DFT calculation with GGA-PBE was carried out for an optimized crystal structure of MnCd2Cu.

Cell: 4.7862 4.7862 4.7862 Å, 126.17 126.17 79.60°
Element x y z (fractional)
1 Mn 0.7500 0.2500 0.5000
2 Cu 0.5000 0.5000 0.0000
3 Cd 0.2500 0.7500 0.5000
4 Cd 0.0000 0.0000 0.0000

Values from the calculation:
Final energy (eV per atom): -3.5695
Energy above the most stable polymorph in this dataset (meV per atom): 65.2
Size of the total moment (μB per formula unit): 3.87

***

A plane-wave DFT calculation with GGA-PBE was carried out for an optimized crystal structure of MnCd2Cu.

Cell: 5.2773 5.2773 4.7554 Å, 69.47 69.47 34.36°
Element x y z (fractional)
1 Cd 0.7668 0.7668 0.7205
2 Mn 0.2291 0.2291 0.2562
3 Cd 0.9909 0.9909 0.0231
4 Cu 0.5133 0.5133 0.5003

Values from the calculation:
Final energy (eV per atom): -3.5842
Energy above the most stable polymorph in this dataset (meV per atom): 50.4
Size of the total moment (μB per formula unit): 3.89

***

A plane-wave DFT calculation with GGA-PBE was carried out for an optimized crystal structure of MnCd4Cu.

Cell: 5.6007 5.6007 5.6007 Å, 60.00 60.00 60.00°
Element x y z (fractional)
1 Cu 0.7500 0.7500 0.7500
2 Cd 0.3750 0.3750 0.3750
3 Cd 0.3750 0.8750 0.3750
4 Cd 0.3750 0.3750 0.8750
5 Mn 0.0000 0.0000 0.0000
6 Cd 0.8750 0.3750 0.3750

Values from the calculation:
Final energy (eV per atom): -2.3885
Size of the total moment (μB per formula unit): 4.32

***

A plane-wave DFT calculation with GGA-PBE was carried out for an optimized crystal structure of MnCd2Cu.

Cell: 4.2199 4.2187 3.8821 Å, 90.00 90.00 90.00°
Element x y z (fractional)
1 Cd 0.0000 0.0000 0.0000
2 Cu 0.5000 0.0000 0.5000
3 Mn 0.0000 0.5000 0.5000
4 Cd 0.5000 0.5000 0.0000

Values from the calculation:
Final energy (eV per atom): -3.5628
Energy above the most stable polymorph in this dataset (meV per atom): 71.8
Size of the total moment (μB per formula unit): 3.63

***

A plane-wave DFT calculation with GGA-PBE was carried out for an optimized crystal structure of MnCd2Cu.

Cell: 9.4193 9.4193 9.4193 Å, 18.00 18.00 18.00°
Element x y z (fractional)
1 Cu 0.2500 0.2500 0.2500
2 Mn 0.7500 0.7500 0.7500
3 Cd 0.5025 0.5025 0.5025
4 Cd 0.9975 0.9975 0.9975

Values from the calculation:
Final energy (eV per atom): -3.5271
Energy above the most stable polymorph in this dataset (meV per atom): 107.5
Size of the total moment (μB per formula unit): 3.68

***

A plane-wave DFT calculation with GGA-PBE was carried out for an optimized crystal structure of MnCdCu.

Cell: 5.8218 5.8218 2.9699 Å, 75.22 75.22 29.55°
Element x y z (fractional)
1 Cd 0.0059 0.0059 0.9941
2 Mn 0.3165 0.3164 0.6835
3 Cu 0.6776 0.6776 0.3224

Values from the calculation:
Final energy (eV per atom): -4.5380
Energy above the most stable polymorph in this dataset (meV per atom): 0.0
Size of the total moment (μB per formula unit): 3.86